Compound: Li4AlAg2As
Source: the Open Quantum Materials Database
Functional: PBE-GGA
Structure: optimized geometry

Output
The total DFT energy (no corrections) is -3.072 eV per atom.

a = 4.366 Å, b = 4.366 Å, c = 6.473 Å
α = 90.00°, β = 90.00°, γ = 90.00°
Space group P-4m2 (No. 115)
Symmetry-distinct sites (fractional):
Li  0.000  0.000  0.000 [1 per cell]
Li  0.000  0.500  0.237 [2 per cell]
Li  0.500  0.500  0.500 [1 per cell]
Al  0.000  0.000  0.500 [1 per cell]
Ag  0.000  0.500  0.737 [2 per cell]
As  0.500  0.500  0.000 [1 per cell]